# 1
{"formula": "Ho5Tm4Zr", "functional": "PBE", "state": "relaxed", "polymorph_energy_ev_per_fu": 0.00, "energy_ev_per_cell": -48.893, "volume_a3_per_cell": 295.59, "formation_enthalpy_0k_mev_per_atom": 43, "n_ef_per_ev_cell": 13.58, "space_group": "P-1 (2)", "lattice": [[3.469, 0.000, 0.000], [-1.734, 9.025, 0.000], [-0.018, -2.678, 9.443]], "species": ["Ho", "Ho", "Ho", "Ho", "Ho", "Tm", "Tm", "Tm", "Tm", "Zr"], "fractional_positions": [[0.000, 0.000, 0.000], [0.197, 0.395, 0.599], [0.199, 0.399, 0.100], [0.801, 0.601, 0.900], [0.803, 0.605, 0.401], [0.403, 0.806, 0.211], [0.405, 0.808, 0.693], [0.595, 0.192, 0.307], [0.597, 0.194, 0.789], [0.000, 0.000, 0.500]]}

***

# 2
{"formula": "Ho2Tm3Zr2", "functional": "PBE", "state": "relaxed", "energy_ev_per_cell": -78.758, "volume_a3_per_cell": 396.67, "formation_enthalpy_0k_mev_per_atom": 41, "n_ef_per_ev_cell": 20.56, "space_group": "Cmmm (65)", "lattice": [[5.145, 0.000, 0.000], [0.000, 22.855, 0.000], [0.000, 0.000, 3.373]], "species": ["Ho", "Ho", "Ho", "Ho", "Tm", "Tm", "Tm", "Tm", "Tm", "Tm", "Zr", "Zr", "Zr", "Zr"], "fractional_positions": [[0.000, 0.077, 0.000], [0.000, 0.923, 0.000], [0.500, 0.423, 0.000], [0.500, 0.577, 0.000], [0.000, 0.344, 0.500], [0.000, 0.500, 0.500], [0.000, 0.656, 0.500], [0.500, 0.000, 0.500], [0.500, 0.156, 0.500], [0.500, 0.844, 0.500], [0.000, 0.221, 0.000], [0.000, 0.779, 0.000], [0.500, 0.279, 0.000], [0.500, 0.721, 0.000]]}

***

# 3
{"formula": "HoTm4Zr", "functional": "PBE", "state": "relaxed", "polymorph_energy_ev_per_fu": 3.71, "energy_ev_per_cell": -26.515, "volume_a3_per_cell": 206.62, "formation_enthalpy_0k_mev_per_atom": 750, "n_ef_per_ev_cell": 7.69, "space_group": "R-3m (166)", "lattice": [[2.625, 1.515, 8.660], [-2.625, 1.515, 8.660], [0.000, -3.031, 8.660]], "species": ["Ho", "Tm", "Tm", "Tm", "Tm", "Zr"], "fractional_positions": [[0.000, 0.000, 0.000], [0.131, 0.131, 0.131], [0.383, 0.383, 0.383], [0.617, 0.617, 0.617], [0.869, 0.869, 0.869], [0.500, 0.500, 0.500]]}

***

# 4
{"formula": "Ho5Tm2Zr", "functional": "PBE", "state": "relaxed", "energy_ev_per_cell": -76.250, "volume_a3_per_cell": 487.15, "formation_enthalpy_0k_mev_per_atom": 282, "n_ef_per_ev_cell": 22.74, "space_group": "C2/c (15)", "lattice": [[2.970, -13.899, 0.000], [2.970, 13.899, 0.000], [-2.149, 0.000, 5.901]], "species": ["Ho", "Ho", "Ho", "Ho", "Ho", "Ho", "Ho", "Ho", "Ho", "Ho", "Tm", "Tm", "Tm", "Tm", "Zr", "Zr"], "fractional_positions": [[0.062, 0.446, 0.508], [0.097, 0.903, 0.750], [0.210, 0.419, 0.912], [0.419, 0.210, 0.412], [0.446, 0.062, 0.008], [0.554, 0.938, 0.992], [0.581, 0.790, 0.588], [0.790, 0.581, 0.088], [0.903, 0.097, 0.250], [0.938, 0.554, 0.492], [0.000, 0.000, 0.000], [0.000, 0.000, 0.500], [0.000, 0.500, 0.000], [0.500, 0.000, 0.500], [0.489, 0.511, 0.250], [0.511, 0.489, 0.750]]}

***

# 5
{"formula": "HoTmZr2", "functional": "PBE", "state": "relaxed", "polymorph_energy_ev_per_fu": 0.09, "energy_ev_per_cell": -77.354, "volume_a3_per_cell": 314.80, "formation_enthalpy_0k_mev_per_atom": 90, "n_ef_per_ev_cell": 15.83, "space_group": "R3m (160)", "lattice": [[3.351, 0.000, 0.000], [-1.676, 2.902, 0.000], [0.000, 0.000, 32.375]], "species": ["Ho", "Ho", "Ho", "Tm", "Tm", "Tm", "Zr", "Zr", "Zr", "Zr", "Zr", "Zr"], "fractional_positions": [[0.000, 0.000, 0.000], [0.333, 0.667, 0.667], [0.667, 0.333, 0.333], [0.000, 0.000, 0.833], [0.333, 0.667, 0.500], [0.667, 0.333, 0.167], [0.000, 0.000, 0.250], [0.000, 0.000, 0.417], [0.333, 0.667, 0.084], [0.333, 0.667, 0.917], [0.667, 0.333, 0.583], [0.667, 0.333, 0.750]]}

***

# 6
{"formula": "Ho4Tm10Zr", "functional": "PBE", "state": "relaxed", "energy_ev_per_cell": -67.885, "volume_a3_per_cell": 465.01, "formation_enthalpy_0k_mev_per_atom": 246, "n_ef_per_ev_cell": 19.47, "space_group": "I4/mmm (139)", "lattice": [[-5.521, 5.521, 3.813], [5.521, -5.521, 3.813], [5.521, 5.521, -3.813]], "species": ["Ho", "Ho", "Ho", "Ho", "Tm", "Tm", "Tm", "Tm", "Tm", "Tm", "Tm", "Tm", "Tm", "Tm", "Zr"], "fractional_positions": [[0.228, 0.228, 0.457], [0.228, 0.772, 0.000], [0.772, 0.228, 0.000], [0.772, 0.772, 0.543], [0.081, 0.288, 0.793], [0.250, 0.750, 0.500], [0.288, 0.081, 0.793], [0.288, 0.496, 0.207], [0.496, 0.288, 0.207], [0.504, 0.712, 0.793], [0.712, 0.504, 0.793], [0.712, 0.919, 0.207], [0.750, 0.250, 0.500], [0.919, 0.712, 0.207], [0.000, 0.000, 0.000]]}

***

# 7
{"formula": "Ho3Tm12Zr", "functional": "PBE", "state": "relaxed", "energy_ev_per_cell": -75.363, "volume_a3_per_cell": 473.46, "formation_enthalpy_0k_mev_per_atom": 36, "n_ef_per_ev_cell": 21.27, "space_group": "P4/mmm (123)", "lattice": [[4.914, 0.000, 0.000], [0.000, 4.914, 0.000], [0.000, 0.000, 19.609]], "species": ["Ho", "Ho", "Ho", "Tm", "Tm", "Tm", "Tm", "Tm", "Tm", "Tm", "Tm", "Tm", "Tm", "Tm", "Tm", "Zr"], "fractional_positions": [[0.000, 0.000, 0.000], [0.000, 0.000, 0.252], [0.000, 0.000, 0.748], [0.000, 0.500, 0.127], [0.000, 0.500, 0.382], [0.000, 0.500, 0.618], [0.000, 0.500, 0.873], [0.500, 0.000, 0.127], [0.500, 0.000, 0.382], [0.500, 0.000, 0.618], [0.500, 0.000, 0.873], [0.500, 0.500, 0.000], [0.500, 0.500, 0.253], [0.500, 0.500, 0.500], [0.500, 0.500, 0.747], [0.000, 0.000, 0.500]]}

***

# 8
{"formula": "Ho12Tm2Zr", "functional": "PBE", "state": "relaxed", "energy_ev_per_cell": -70.035, "volume_a3_per_cell": 462.15, "formation_enthalpy_0k_mev_per_atom": 159, "n_ef_per_ev_cell": 27.82, "space_group": "P2/m (10)", "lattice": [[3.516, 0.000, 0.000], [0.000, 5.472, 0.000], [-1.068, 0.000, 24.020]], "species": ["Ho", "Ho", "Ho", "Ho", "Ho", "Ho", "Ho", "Ho", "Ho", "Ho", "Ho", "Ho", "Tm", "Tm", "Zr"], "fractional_positions": [[0.145, 0.000, 0.197], [0.197, 0.000, 0.329], [0.226, 0.500, 0.421], [0.247, 0.000, 0.059], [0.267, 0.000, 0.555], [0.354, 0.500, 0.876], [0.646, 0.500, 0.124], [0.733, 0.000, 0.445], [0.753, 0.000, 0.941], [0.774, 0.500, 0.579], [0.803, 0.000, 0.671], [0.855, 0.000, 0.803], [0.322, 0.500, 0.725], [0.678, 0.500, 0.275], [0.000, 0.500, 0.000]]}

***

# 9
{"formula": "Ho6Tm4Zr", "functional": "PBE", "state": "relaxed", "energy_ev_per_cell": -104.339, "volume_a3_per_cell": 659.99, "formation_enthalpy_0k_mev_per_atom": 157, "n_ef_per_ev_cell": 34.20, "space_group": "P4/mnc (128)", "lattice": [[8.665, 0.000, 0.000], [0.000, 8.665, 0.000], [0.000, 0.000, 8.790]], "species": ["Ho", "Ho", "Ho", "Ho", "Ho", "Ho", "Ho", "Ho", "Ho", "Ho", "Ho", "Ho", "Tm", "Tm", "Tm", "Tm", "Tm", "Tm", "Tm", "Tm", "Zr", "Zr"], "fractional_positions": [[0.000, 0.000, 0.174], [0.000, 0.000, 0.826], [0.151, 0.346, 0.500], [0.154, 0.349, 0.000], [0.346, 0.849, 0.500], [0.349, 0.846, 0.000], [0.500, 0.500, 0.326], [0.500, 0.500, 0.674], [0.651, 0.154, 0.000], [0.654, 0.151, 0.500], [0.846, 0.651, 0.000], [0.849, 0.654, 0.500], [0.146, 0.646, 0.250], [0.146, 0.646, 0.750], [0.354, 0.146, 0.250], [0.354, 0.146, 0.750], [0.646, 0.854, 0.250], [0.646, 0.854, 0.750], [0.854, 0.354, 0.250], [0.854, 0.354, 0.750], [0.000, 0.000, 0.500], [0.500, 0.500, 0.000]]}

***

# 10
{"formula": "HoTmZr", "functional": "PBE", "state": "relaxed", "polymorph_energy_ev_per_fu": 0.09, "energy_ev_per_cell": -34.796, "volume_a3_per_cell": 166.36, "formation_enthalpy_0k_mev_per_atom": 66, "n_ef_per_ev_cell": 8.73, "space_group": "I4mm (107)", "lattice": [[3.384, 0.000, 0.000], [0.000, 3.384, 0.000], [0.000, 0.000, 14.524]], "species": ["Ho", "Ho", "Tm", "Tm", "Zr", "Zr"], "fractional_positions": [[0.000, 0.000, 0.000], [0.500, 0.500, 0.500], [0.000, 0.000, 0.687], [0.500, 0.500, 0.187], [0.000, 0.000, 0.342], [0.500, 0.500, 0.842]]}